VASP calculation (GGA-PBE) on a relaxed structure of Hg2IrPt.

Results
Energy above the lowest structure with this stoichiometry   29.1 meV per atom
E_form   135 kJ/mol of formula units
Spin magnetization   0.00 μB per atom
Raw total energy   -0.259 Ry/atom

Cell lengths 3.026, 3.870, 6.084 Å; angles 90.00, 90.00, 90.00 degrees
Space group Pmmm (No. 47)
Inequivalent atoms, fractional coordinates:
Hg (0.000, 0.000, 0.247) x2
Ir (0.500, 0.500, 0.000) x1
Pt (0.500, 0.500, 0.500) x1